Density functional theory data (GGA-PBE) for an optimized crystal structure of K4La3CdO8.

Values from the calculation:
symmetry: C2/m, No. 12
mass density: 4.601 g/cm3
E_tot: -5.94 eV/atom
ΔE_f (raw): -212 kJ per mole of atoms

```
K4La3CdO8
1.0
6.430 -3.619 0.000
6.430 3.619 0.000
-4.139 0.000 6.308
K La Cd O
4 3 1 8
direct
0.000 0.000 0.000 K
0.000 0.500 0.000 K
0.500 0.000 0.000 K
0.500 0.500 0.000 K
0.000 0.000 0.500 La
0.000 0.500 0.500 La
0.500 0.000 0.500 La
0.500 0.500 0.500 Cd
0.228 0.228 0.691 O
0.237 0.727 0.693 O
0.252 0.252 0.292 O
0.273 0.763 0.307 O
0.727 0.237 0.693 O
0.748 0.748 0.708 O
0.763 0.273 0.307 O
0.772 0.772 0.309 O
```